[1]
Below is a relaxed CuAg2 crystal, with properties calculated at the PBE-GGA level.

Computed properties:
space group = Cm
polymorph energy (0 for the lowest one) = 53 meV/atom

Cell and atoms, written as POSCAR:
```
CuAg2
1.0
7.291 -1.436 0.000
7.291 1.436 0.000
-4.637 0.000 6.847
Cu Ag
3 6
Cartesian
0.000 0.000 0.000
-1.403 0.000 4.517
5.042 0.000 0.022
1.765 0.000 2.237
3.466 0.000 4.636
6.638 0.000 2.248
5.282 0.000 6.734
8.214 0.000 4.675
11.524 0.000 2.241
```

[2]
Below is a relaxed Cu3Ag7 crystal, with properties calculated at the PBE-GGA level.

Computed properties:
space group = C2/m
polymorph energy (0 for the lowest one) = 59 meV/atom

Cell and atoms, written as POSCAR:
```
Cu3Ag7
1.0
11.579 -1.436 0.000
11.579 1.436 0.000
-0.343 0.000 4.880
Cu Ag
3 7
Cartesian
0.000 0.000 0.000
4.579 0.000 1.975
18.236 0.000 2.905
2.090 0.000 3.413
6.875 0.000 0.531
8.954 0.000 3.903
11.408 0.000 2.440
13.862 0.000 0.977
15.940 0.000 4.349
20.725 0.000 1.467
```

[3]
Below is a relaxed Cu7Ag2 crystal, with properties calculated at the PBE-GGA level.

Computed properties:
space group = Immm
polymorph energy (0 for the lowest one) = 29 meV/atom

Cell and atoms, written as POSCAR:
```
Cu7Ag2
1.0
-1.350 4.006 5.492
1.350 -4.006 5.492
1.350 4.006 -5.492
Cu Ag
7 2
Cartesian
0.000 0.000 0.000
1.350 -1.289 1.897
0.000 0.000 3.562
1.350 1.289 1.897
0.000 2.717 3.596
0.000 0.000 7.423
0.000 5.294 3.596
0.000 2.622 0.000
0.000 5.389 0.000
```

[4]
Below is a relaxed CuAg crystal, with properties calculated at the PBE-GGA level.

Computed properties:
space group = P4mm

Cell and atoms, written as POSCAR:
```
CuAg
1.0
2.844 0.000 0.000
0.000 2.844 0.000
0.000 0.000 18.368
Cu Ag
5 5
Cartesian
0.000 0.000 0.000
0.000 0.000 2.972
0.000 0.000 14.660
1.422 1.422 1.487
1.422 1.422 8.836
0.000 0.000 7.001
0.000 0.000 10.665
1.422 1.422 4.829
1.422 1.422 12.823
1.422 1.422 16.505
```

[5]
Below is a relaxed CuAg crystal, with properties calculated at the PBE-GGA level.

Computed properties:
space group = Cm

Cell and atoms, written as POSCAR:
```
CuAg
1.0
7.267 -1.396 0.000
7.267 1.396 0.000
-1.953 0.000 7.289
Cu Ag
5 5
Cartesian
0.000 0.000 0.000
-0.955 0.000 3.680
2.508 0.000 0.556
5.630 0.000 1.559
7.008 0.000 5.889
1.649 0.000 4.516
4.471 0.000 5.104
8.129 0.000 2.158
10.908 0.000 2.689
9.855 0.000 6.841
```

[6]
Below is a relaxed Cu4Ag5 crystal, with properties calculated at the PBE-GGA level.

Computed properties:
space group = Immm
polymorph energy (0 for the lowest one) = 50 meV/atom

Cell and atoms, written as POSCAR:
```
Cu4Ag5
1.0
-1.411 1.900 12.827
1.411 -1.900 12.827
1.411 1.900 -12.827
Cu Ag
4 5
Cartesian
0.000 0.000 2.972
0.000 0.000 8.600
0.000 0.000 17.054
0.000 0.000 22.682
0.000 0.000 0.000
0.000 0.000 5.611
0.000 0.000 11.233
0.000 0.000 14.421
0.000 0.000 20.043
```

| no. | calculated formation energy (eV per atom) |
| --- | --- |
| 1 | 0.084 |
| 2 | 0.088 |
| 3 | 0.075 |
| 4 | 0.070 |
| 5 | 0.086 |
| 6 | 0.088 |